1.
VASP calculation (PBE) on ZnSi2S6 after structural relaxation. Values from VASP.

```
&SYSTEM
  ibrav = 0, nat = 18, ntyp = 3
/
ATOMIC_SPECIES
Zn 65.41 Zn.upf
S 32.06 S.upf
Si 28.09 Si.upf
ATOMIC_POSITIONS angstrom
Zn 6.589 6.009 0.610
Zn 3.438 0.849 6.029
S 1.980 6.967 -0.993
S 5.485 1.684 2.932
S 5.131 -0.811 6.953
S 4.542 5.174 3.707
S 7.693 3.829 5.008
S 5.610 3.962 0.203
S 2.334 3.030 1.631
S 4.418 2.897 6.437
S 7.569 6.483 2.644
S 8.047 -0.109 7.633
S 4.896 7.669 -0.313
S 2.459 0.375 3.996
Si 3.470 4.448 5.421
Si 6.621 5.518 4.227
Si 3.406 1.340 2.413
Si 6.557 2.411 1.218
CELL_PARAMETERS angstrom
6.302 -0.088 -0.086
1.863 8.003 -1.316
1.863 -1.056 8.041
```

Calculated values
M_tot in μB per atom: 0.000
Energy relative to the elements, uncorrected in eV/atom: -0.42
Theoretical density in Mg/m³: 2.6
Symmetry: C2/c (15)

***

2.
VASP calculation (PBE) on MgInB3 after structural relaxation. Values from VASP.

```
&SYSTEM
  ibrav = 0, nat = 5, ntyp = 3
/
ATOMIC_SPECIES
B 10.81 B.upf
Mg 24.30 Mg.upf
In 114.82 In.upf
ATOMIC_POSITIONS angstrom
B 2.256 0.000 0.000
B 0.000 0.000 2.256
B 0.000 2.256 0.000
Mg 2.256 2.256 2.256
In 0.000 0.000 0.000
CELL_PARAMETERS angstrom
4.512 0.000 0.000
0.000 4.512 0.000
0.000 0.000 4.512
```

Calculated values
Formation enthalpy at 0 K in meV per atom: 2061
Polymorph energy (0 for the lowest one) in meV per atom: 8.8
M_tot in μB per atom: 0.000
Theoretical density in Mg/m³: 3.1
Symmetry: Pm-3m (221)

***

3.
VASP calculation (PBE) on PPbAu2 after structural relaxation. Values from VASP.

```
&SYSTEM
  ibrav = 0, nat = 4, ntyp = 3
/
ATOMIC_SPECIES
P 30.97 P.upf
Pb 207.20 Pb.upf
Au 196.97 Au.upf
ATOMIC_POSITIONS angstrom
P 1.448 0.545 2.624
Pb -1.607 1.238 2.272
Au 0.000 0.000 0.000
Au -0.715 -1.162 3.922
CELL_PARAMETERS angstrom
-3.769 -0.470 3.571
2.340 -1.855 4.273
1.270 4.108 -2.948
```

Calculated values
Formation enthalpy at 0 K in meV per atom: 289
Polymorph energy (0 for the lowest one) in meV per atom: 285.5
M_tot in μB per atom: 0.000
Theoretical density in Mg/m³: 12.7
Symmetry: I4/mmm (139)

***

4.
VASP calculation (PBE) on NdDy2Tm4In after structural relaxation. Values from VASP.

```
&SYSTEM
  ibrav = 0, nat = 16, ntyp = 4
/
ATOMIC_SPECIES
Tm 168.93 Tm.upf
Nd 144.24 Nd.upf
Dy 162.50 Dy.upf
In 114.82 In.upf
ATOMIC_POSITIONS angstrom
Tm 0.000 7.712 4.288
Tm 0.000 0.000 0.000
Tm 1.784 2.899 9.987
Tm 1.784 0.662 12.865
Tm 0.000 5.475 1.411
Tm 1.784 2.899 15.742
Tm 0.000 5.475 7.166
Tm 0.000 0.000 8.577
Nd 1.784 4.725 4.288
Nd 0.000 3.649 12.865
Dy 0.000 5.976 10.361
Dy 1.784 2.398 6.792
Dy 1.784 2.398 1.784
Dy 0.000 5.976 15.369
In 1.784 6.513 12.865
In 0.000 1.861 4.288
CELL_PARAMETERS angstrom
3.568 0.000 0.000
-1.784 8.374 0.000
0.000 0.000 17.153
```

Calculated values
Formation enthalpy at 0 K in meV per atom: 94
M_tot in μB per atom: 0.000
Theoretical density in Mg/m³: 8.2
Symmetry: Cmcm (63)

***

5.
VASP calculation (PBE) on LiIn2Ga6 after structural relaxation. Values from VASP.

```
&SYSTEM
  ibrav = 0, nat = 9, ntyp = 3
/
ATOMIC_SPECIES
Ga 69.72 Ga.upf
In 114.82 In.upf
Li 6.94 Li.upf
ATOMIC_POSITIONS angstrom
Ga -1.062 -8.095 4.806
Ga -2.009 -4.157 2.963
Ga 2.057 -4.894 4.670
Ga -0.346 -5.718 4.144
Ga 2.773 -2.517 4.008
Ga 3.720 -6.456 5.851
In 0.953 -3.954 1.841
In 0.758 -6.659 6.973
Li 0.000 0.000 0.000
CELL_PARAMETERS angstrom
-1.148 1.250 3.290
-2.152 -7.159 1.979
5.011 -4.704 3.545
```

Calculated values
Formation enthalpy at 0 K in meV per atom: -11
M_tot in μB per atom: 0.000
Theoretical density in Mg/m³: 5.7
Symmetry: C2/m (12)

***

6.
VASP calculation (PBE) on LiPr2TlO5 after structural relaxation. Values from VASP.

```
&SYSTEM
  ibrav = 0, nat = 18, ntyp = 4
/
ATOMIC_SPECIES
O 16.00 O.upf
Pr 140.91 Pr.upf
Li 6.94 Li.upf
Tl 204.38 Tl.upf
ATOMIC_POSITIONS angstrom
O -0.681 -0.635 -0.252
O -1.944 -4.283 -2.664
O -1.098 -1.462 -3.098
O -4.759 -5.508 -2.604
O -4.062 -5.873 -5.492
O 1.363 -3.609 -3.337
O -7.376 -4.122 -2.908
O -0.717 -6.028 -4.484
O -4.526 -2.244 -2.467
O -7.627 -1.973 -1.125
Pr -0.731 -3.333 -4.705
Pr -5.719 -3.882 -0.975
Pr -6.383 -5.709 -4.519
Pr -2.263 -2.416 -1.079
Li 0.873 -2.301 -2.129
Li -4.024 -3.547 -3.675
Tl -9.193 -3.391 -1.671
Tl -2.786 -6.117 -3.801
CELL_PARAMETERS angstrom
-0.975 2.109 -2.679
2.390 -6.064 -3.296
-9.130 -3.785 0.343
```

Calculated values
M_tot in μB per atom: 0.000
Energy relative to the elements, uncorrected in eV/atom: -2.26
Theoretical density in Mg/m³: 7.7
Symmetry: Cmc2_1 (36)

***

7.
VASP calculation (PBE) on Sc2NbCuRh after structural relaxation. Values from VASP.

```
&SYSTEM
  ibrav = 0, nat = 5, ntyp = 4
/
ATOMIC_SPECIES
Sc 44.96 Sc.upf
Nb 92.91 Nb.upf
Cu 63.55 Cu.upf
Rh 102.91 Rh.upf
ATOMIC_POSITIONS angstrom
Sc -0.862 1.451 1.893
Sc 1.860 -0.850 1.500
Nb 0.000 0.000 0.000
Cu -0.365 -1.132 4.100
Rh -1.363 -1.734 0.708
CELL_PARAMETERS angstrom
-1.725 2.903 3.785
-2.726 -3.467 1.417
3.720 -1.700 2.999
```

Calculated values
Formation enthalpy at 0 K in meV per atom: 817
M_tot in μB per atom: 0.000
Theoretical density in Mg/m³: 4.9
Symmetry: P4/mmm (123)

***

8.
VASP calculation (PBE) on B5C7 after structural relaxation. Values from VASP.

```
&SYSTEM
  ibrav = 0, nat = 12, ntyp = 2
/
ATOMIC_SPECIES
C 12.01 C.upf
B 10.81 B.upf
ATOMIC_POSITIONS angstrom
C 4.348 1.818 -7.919
C 0.349 0.264 5.678
C 0.325 2.042 -3.548
C 2.578 1.623 -0.596
C 2.329 1.403 -6.469
C 0.483 1.166 1.045
C 2.150 0.445 -1.561
B 0.178 0.843 2.618
B 1.958 2.206 -3.834
B 0.294 0.029 -0.048
B 2.612 0.753 -2.999
B 2.371 2.537 -5.409
CELL_PARAMETERS angstrom
4.423 0.085 -5.833
0.022 2.646 -6.784
-0.194 -0.081 7.279
```

Calculated values
Formation enthalpy at 0 K in meV per atom: 427
Polymorph energy (0 for the lowest one) in meV per atom: 169.5
M_tot in μB per atom: 0.000
Theoretical density in Mg/m³: 2.9
Symmetry: Cm (8)

***

9.
VASP calculation (PBE) on Cs2CaHI6 after structural relaxation. Values from VASP.

```
&SYSTEM
  ibrav = 0, nat = 10, ntyp = 4
/
ATOMIC_SPECIES
I 126.90 I.upf
Ca 40.08 Ca.upf
H 1.01 H.upf
Cs 132.91 Cs.upf
ATOMIC_POSITIONS angstrom
I -4.902 -2.703 2.528
I -6.894 -4.247 0.093
I -2.675 -1.648 0.036
I -4.667 -3.193 -2.398
I -2.726 -6.280 0.494
I -7.958 -8.503 0.465
Ca 0.000 0.000 0.000
H -4.785 -2.948 0.065
Cs -5.476 -7.114 3.273
Cs -5.209 -7.669 -2.313
CELL_PARAMETERS angstrom
-5.051 -2.392 5.651
-4.518 -3.503 -5.522
-1.115 -8.887 0.830
```

Calculated values
Electronic total energy in eV per cell: -24.8
M_tot in μB per atom: 0.000
Theoretical density in Mg/m³: 4.0
Symmetry: I4/mmm (139)